GaBI2N | the Alexandria database | GGA-PBE | relaxed; uncorrected energy = -14.60 eV for the cell shown; volume = 123.30 Å³ per cell; space group = P4/mmm (123); ΔE to the lowest computed polymorph = 1274 meV/atom; raw formation energy = 1.307 eV/atom; M_tot = 1.0 Bohr magnetons per cell
1.0
-4.183 -0.420 -3.982
4.004 -0.461 -4.158
-0.010 -3.655 0.396
Ga I B N
1 2 1 1
direct
0.000 0.000 0.000
0.500 0.000 0.000
0.000 0.500 0.000
0.500 0.500 0.500
0.000 0.000 0.500